This record from Alexandria describes a relaxed structure of Ho4TmPd4. The functional is GGA-PBE.

Cell and atoms, written as POSCAR:
```
Ho4TmPd4
1.0
5.755 0.000 0.000
0.000 8.890 0.000
0.000 0.000 8.890
Ho Tm Pd
8 2 8
direct
0.409 0.318 0.910
0.909 0.590 0.818
0.409 0.682 0.090
0.091 0.182 0.590
0.591 0.910 0.682
0.091 0.818 0.410
0.909 0.410 0.182
0.591 0.090 0.318
0.000 0.000 0.000
0.500 0.500 0.500
0.594 0.779 0.378
0.594 0.221 0.622
0.094 0.878 0.721
0.906 0.279 0.878
0.906 0.721 0.122
0.406 0.378 0.221
0.406 0.622 0.779
0.094 0.122 0.279
```

energy of formation	-6.187	eV/f.u.

=====

This record from Alexandria describes a relaxed structure of In2SeBr. The functional is GGA-PBE.

Cell and atoms, written as POSCAR:
```
In2SeBr
1.0
-2.352 3.086 1.974
-3.404 -2.736 0.221
2.042 -2.082 5.688
Br In Se
1 2 1
direct
0.500 0.500 0.875
0.000 0.000 0.876
0.500 0.500 0.375
0.000 0.000 0.375
```

raw formation energy	-0.421	eV per atom
relative energy among the computed polymorphs	0.055	eV/atom

=====

This record from Alexandria describes a relaxed structure of ScZn2AsS. The functional is GGA-PBE.

Cell and atoms, written as POSCAR:
```
ScZn2AsS
1.0
4.701 0.000 0.000
0.000 5.240 0.000
0.000 0.000 4.701
Sc As S Zn
1 1 1 2
direct
0.000 0.500 0.000
0.000 0.000 0.000
0.500 0.500 0.500
0.000 0.000 0.500
0.500 0.000 0.000
```

raw formation energy	-0.028	eV per atom

=====

This record from Alexandria describes a relaxed structure of ZrTlHgCl6. The functional is GGA-PBE.

Cell and atoms, written as POSCAR:
```
ZrTlHgCl6
1.0
7.441 0.015 -0.001
3.734 6.441 0.010
-0.005 0.004 6.174
Zr Tl Hg Cl
1 1 1 6
direct
0.333 0.333 0.500
0.666 0.666 0.500
0.999 0.000 0.001
0.065 0.322 0.265
0.321 0.066 0.735
0.614 0.321 0.734
0.065 0.615 0.733
0.321 0.614 0.265
0.615 0.064 0.267
```

raw formation energy	-1.238	eV per atom

=====

V / Å³ per cell: 454.8; 121.7; 115.8; 295.5